[1]
# CaSb2MoI, relaxed, DFT PBE-GGA
data_CaSb2MoI
_cell_length_a 5.194
_cell_length_b 5.194
_cell_length_c 5.981
_cell_angle_alpha 90.00
_cell_angle_beta 90.00
_cell_angle_gamma 90.00
_space_group_name_H-M_alt 'P 4/m m m'
_space_group_IT_number 123
_space_group_name_Hall '-P 4 2'
loop_
_atom_site_label
_atom_site_type_symbol
_atom_site_fract_x
_atom_site_fract_y
_atom_site_fract_z
_atom_site_occupancy
Ca1 Ca 0.000 0.000 0.000 1
Sb1 Sb 0.000 0.500 0.500 1
Mo1 Mo 0.500 0.500 0.500 1
I1 I 0.500 0.500 0.000 1
# * E_form (uncorrected): 0.083 eV per atom
# * VASP energy: -4.443 eV/atom
# * distance to the lowest polymorph of the same formula: 0.57 eV per formula unit


[2]
# CaSb2MoI, relaxed, DFT PBE-GGA
data_CaSb2MoI
_cell_length_a 5.829
_cell_length_b 5.829
_cell_length_c 5.774
_cell_angle_alpha 90.00
_cell_angle_beta 90.00
_cell_angle_gamma 90.00
_space_group_name_H-M_alt 'P 4/m m m'
_space_group_IT_number 123
_space_group_name_Hall '-P 4 2'
loop_
_atom_site_label
_atom_site_type_symbol
_atom_site_fract_x
_atom_site_fract_y
_atom_site_fract_z
_atom_site_occupancy
Ca1 Ca 0.000 0.000 0.000 1
Sb1 Sb 0.000 0.500 0.000 1
Mo1 Mo 0.500 0.500 0.500 1
I1 I 0.000 0.000 0.500 1
# * E_form (uncorrected): 1.066 eV per atom
# * VASP energy: -3.459 eV/atom
# * distance to the lowest polymorph of the same formula: 5.48 eV per formula unit


[3]
# CaSb2MoI, relaxed, DFT PBE-GGA
data_CaSb2MoI
_cell_length_a 5.135
_cell_length_b 5.135
_cell_length_c 6.270
_cell_angle_alpha 90.00
_cell_angle_beta 90.00
_cell_angle_gamma 90.00
_space_group_name_H-M_alt 'P 4/m m m'
_space_group_IT_number 123
_space_group_name_Hall '-P 4 2'
loop_
_atom_site_label
_atom_site_type_symbol
_atom_site_fract_x
_atom_site_fract_y
_atom_site_fract_z
_atom_site_occupancy
Ca1 Ca 0.000 0.000 0.000 1
Sb1 Sb 0.000 0.500 0.500 1
Mo1 Mo 0.000 0.000 0.500 1
I1 I 0.500 0.500 0.000 1
# * E_form (uncorrected): -0.030 eV per atom
# * VASP energy: -4.556 eV/atom
# * distance to the lowest polymorph of the same formula: 0.00 eV per formula unit


[4]
# Sr2CaMoI, relaxed, DFT PBE-GGA
data_Sr2CaMoI
_cell_length_a 6.250
_cell_length_b 6.250
_cell_length_c 5.082
_cell_angle_alpha 90.00
_cell_angle_beta 90.00
_cell_angle_gamma 90.00
_space_group_name_H-M_alt 'P 4/m m m'
_space_group_IT_number 123
_space_group_name_Hall '-P 4 2'
loop_
_atom_site_label
_atom_site_type_symbol
_atom_site_fract_x
_atom_site_fract_y
_atom_site_fract_z
_atom_site_occupancy
Sr1 Sr 0.000 0.500 0.000 1
Ca1 Ca 0.000 0.000 0.500 1
Mo1 Mo 0.500 0.500 0.500 1
I1 I 0.500 0.500 0.000 1
# * E_form (uncorrected): 0.535 eV per atom
# * VASP energy: -3.014 eV/atom


[5]
# Ca2TaMoI, relaxed, DFT PBE-GGA
data_Ca2TaMoI
_cell_length_a 5.956
_cell_length_b 5.956
_cell_length_c 4.651
_cell_angle_alpha 90.00
_cell_angle_beta 90.00
_cell_angle_gamma 90.00
_space_group_name_H-M_alt 'P 4/m m m'
_space_group_IT_number 123
_space_group_name_Hall '-P 4 2'
loop_
_atom_site_label
_atom_site_type_symbol
_atom_site_fract_x
_atom_site_fract_y
_atom_site_fract_z
_atom_site_occupancy
Ca1 Ca 0.000 0.500 0.000 1
Ta1 Ta 0.000 0.000 0.500 1
Mo1 Mo 0.000 0.000 0.000 1
I1 I 0.500 0.500 0.500 1
# * E_form (uncorrected): 0.642 eV per atom
# * VASP energy: -5.005 eV/atom


[6]
# CaI4N2, relaxed, DFT PBE-GGA
data_CaI4N2
_cell_length_a 4.238
_cell_length_b 7.629
_cell_length_c 8.089
_cell_angle_alpha 62.06
_cell_angle_beta 89.92
_cell_angle_gamma 73.92
_space_group_name_H-M_alt 'P -1'
_space_group_IT_number 2
_space_group_name_Hall '-P 1'
loop_
_atom_site_label
_atom_site_type_symbol
_atom_site_fract_x
_atom_site_fract_y
_atom_site_fract_z
_atom_site_occupancy
Ca1 Ca 0.000 0.000 0.000 1
I1 I 0.209 0.584 0.807 1
I2 I 0.411 0.181 0.672 1
N1 N 0.168 0.664 0.998 1
# * E_form (uncorrected): 0.158 eV per atom
# * VASP energy: -3.392 eV/atom


[7]
# CaIN, relaxed, DFT PBE-GGA
data_CaIN
_cell_length_a 7.311
_cell_length_b 4.092
_cell_length_c 12.012
_cell_angle_alpha 90.00
_cell_angle_beta 106.91
_cell_angle_gamma 90.00
_space_group_name_H-M_alt 'C 1 2/m 1'
_space_group_IT_number 12
_space_group_name_Hall '-C 2y'
loop_
_atom_site_label
_atom_site_type_symbol
_atom_site_fract_x
_atom_site_fract_y
_atom_site_fract_z
_atom_site_occupancy
Ca1 Ca 0.085 0.000 0.372 1
I1 I 0.168 0.500 0.202 1
N1 N 0.087 0.500 0.526 1
# * E_form (uncorrected): -0.981 eV per atom
# * VASP energy: -4.940 eV/atom


[8]
# CaI2N2, relaxed, DFT PBE-GGA
data_CaI2N2
_cell_length_a 4.776
_cell_length_b 4.776
_cell_length_c 6.707
_cell_angle_alpha 90.00
_cell_angle_beta 90.00
_cell_angle_gamma 90.00
_space_group_name_H-M_alt 'P 4/m m m'
_space_group_IT_number 123
_space_group_name_Hall '-P 4 2'
loop_
_atom_site_label
_atom_site_type_symbol
_atom_site_fract_x
_atom_site_fract_y
_atom_site_fract_z
_atom_site_occupancy
Ca1 Ca 0.000 0.000 0.000 1
I1 I 0.000 0.000 0.500 1
I2 I 0.500 0.500 0.500 1
N1 N 0.000 0.500 0.000 1
# * E_form (uncorrected): 1.290 eV per atom
# * VASP energy: -3.060 eV/atom
# * distance to the lowest polymorph of the same formula: 11.33 eV per formula unit


[9]
# CaI2N, relaxed, DFT PBE-GGA
data_CaI2N
_cell_length_a 7.828
_cell_length_b 7.828
_cell_length_c 7.828
_cell_angle_alpha 90.00
_cell_angle_beta 90.00
_cell_angle_gamma 90.00
_space_group_name_H-M_alt 'F m -3 m'
_space_group_IT_number 225
_space_group_name_Hall '-F 4 2 3'
loop_
_atom_site_label
_atom_site_type_symbol
_atom_site_fract_x
_atom_site_fract_y
_atom_site_fract_z
_atom_site_occupancy
Ca1 Ca 0.000 0.000 0.000 1
I1 I 0.250 0.250 0.250 1
N1 N 0.000 0.000 0.500 1
# * E_form (uncorrected): 0.180 eV per atom
# * VASP energy: -3.177 eV/atom
# * distance to the lowest polymorph of the same formula: 0.45 eV per formula unit


[10]
# Ca4I5N, relaxed, DFT PBE-GGA
data_Ca4I5N
_cell_length_a 19.581
_cell_length_b 4.180
_cell_length_c 8.608
_cell_angle_alpha 90.00
_cell_angle_beta 102.40
_cell_angle_gamma 90.00
_space_group_name_H-M_alt 'C 1 2/m 1'
_space_group_IT_number 12
_space_group_name_Hall '-C 2y'
loop_
_atom_site_label
_atom_site_type_symbol
_atom_site_fract_x
_atom_site_fract_y
_atom_site_fract_z
_atom_site_occupancy
Ca1 Ca 0.000 0.000 0.203 1
Ca2 Ca 0.126 0.500 0.062 1
I1 I 0.000 0.500 0.500 1
I2 I 0.161 0.000 0.330 1
I3 I 0.163 0.000 0.827 1
N1 N 0.000 0.500 0.000 1
# * E_form (uncorrected): -1.378 eV per atom
# * VASP energy: -3.786 eV/atom


[11]
# CaI2N2, relaxed, DFT PBE-GGA
data_CaI2N2
_cell_length_a 6.174
_cell_length_b 6.174
_cell_length_c 4.834
_cell_angle_alpha 90.00
_cell_angle_beta 90.00
_cell_angle_gamma 90.00
_space_group_name_H-M_alt 'P 4/m m m'
_space_group_IT_number 123
_space_group_name_Hall '-P 4 2'
loop_
_atom_site_label
_atom_site_type_symbol
_atom_site_fract_x
_atom_site_fract_y
_atom_site_fract_z
_atom_site_occupancy
Ca1 Ca 0.000 0.000 0.000 1
I1 I 0.000 0.500 0.000 1
N1 N 0.000 0.000 0.500 1
N2 N 0.500 0.500 0.500 1
# * E_form (uncorrected): 1.156 eV per atom
# * VASP energy: -3.194 eV/atom
# * distance to the lowest polymorph of the same formula: 10.66 eV per formula unit


[12]
# Ca3I2N, relaxed, DFT PBE-GGA
data_Ca3I2N
_cell_length_a 13.540
_cell_length_b 7.626
_cell_length_c 7.024
_cell_angle_alpha 90.00
_cell_angle_beta 90.00
_cell_angle_gamma 90.00
_space_group_name_H-M_alt 'C m c m'
_space_group_IT_number 63
_space_group_name_Hall '-C 2c 2'
loop_
_atom_site_label
_atom_site_type_symbol
_atom_site_fract_x
_atom_site_fract_y
_atom_site_fract_z
_atom_site_occupancy
Ca1 Ca 0.000 0.124 0.250 1
Ca2 Ca 0.114 0.500 0.000 1
I1 I 0.190 0.158 0.750 1
N1 N 0.000 0.422 0.250 1
# * E_form (uncorrected): -1.077 eV per atom
# * VASP energy: -3.982 eV/atom
# * distance to the lowest polymorph of the same formula: 0.00 eV per formula unit